AlCu2Os: optimized geometry, PBE.

a = 2.6141 Å, b = 3.8732 Å, c = 5.2321 Å
α = 90.00°, β = 90.00°, γ = 90.00°
Closest atoms and distances in Å follow each position.
Positions (direct):
Al 0.5000 0.5000 0.7500  2 Al 2.61, 2 Os 2.62, 8 Cu 2.67
Cu 0.0000 0.0000 0.9972  4 Cu 2.59-2.65, 4 Al 2.67, 4 Os 2.68
Cu 0.0000 0.0000 0.5028  4 Cu 2.59-2.65, 4 Al 2.67, 4 Os 2.68
Os 0.5000 0.5000 0.2500  2 Os 2.61, 2 Al 2.62, 8 Cu 2.68

Total magnetization, μB/f.u.: 0.00
Space group: Pmmm, No. 47
Theoretical density, g/cm³: 10.79
Formation energy from the elements, eV/atom: 0.103